Entry 1:
Entry from Alexandria: crystalline ZrTiB3 at its relaxed geometry (GGA-PBEsol).

```
data_ZrTiB3
_space_group_name_H-M_alt 'P m -3 m'
_space_group_IT_number 221
_space_group_name_Hall '-P 4 2 3'
_cell_length_a 4.156
_cell_length_b 4.156
_cell_length_c 4.156
_cell_angle_alpha 90.00
_cell_angle_beta 90.00
_cell_angle_gamma 90.00
loop_
_atom_site_label
_atom_site_type_symbol
_atom_site_fract_x
_atom_site_fract_y
_atom_site_fract_z
Zr1 Zr 0.000 0.000 0.000
Ti1 Ti 0.500 0.500 0.500
B1 B 0.000 0.000 0.500
```

crystal system: cubic
formation energy: 1.39 eV/atom

---

Entry 2:
Entry from Alexandria: crystalline LiLa2Cl at its relaxed geometry (GGA-PBEsol).

```
data_LiLa2Cl
_space_group_name_H-M_alt 'P m m m'
_space_group_IT_number 47
_cell_length_a 3.645
_cell_length_b 4.843
_cell_length_c 5.950
_cell_angle_alpha 90.00
_cell_angle_beta 90.00
_cell_angle_gamma 90.00
loop_
_space_group_symop_operation_xyz
'x,y,z'
'-x,-y,-z'
'-x,-y,z'
'x,y,-z'
'x,-y,-z'
'-x,y,z'
'-x,y,-z'
'x,-y,z'
loop_
_atom_site_label
_atom_site_type_symbol
_atom_site_fract_x
_atom_site_fract_y
_atom_site_fract_z
Li1 Li 0.000 0.000 0.000
La1 La 0.000 0.500 0.500
La2 La 0.500 0.500 0.000
Cl1 Cl 0.500 0.000 0.500
```

ΔE_f (raw): -0.375 eV/atom
crystal system: orthorhombic

---

Entry 3:
Entry from Alexandria: crystalline Rb2ScAgI6 at its relaxed geometry (GGA-PBEsol).

```
data_Rb2ScAgI6
_space_group_name_H-M_alt 'F m -3 m'
_space_group_IT_number 225
_space_group_name_Hall '-F 4 2 3'
_cell_length_a 11.577
_cell_length_b 11.577
_cell_length_c 11.577
_cell_angle_alpha 90.00
_cell_angle_beta 90.00
_cell_angle_gamma 90.00
loop_
_atom_site_label
_atom_site_type_symbol
_atom_site_fract_x
_atom_site_fract_y
_atom_site_fract_z
Rb1 Rb 0.250 0.250 0.250
Sc1 Sc 0.000 0.000 0.000
Ag1 Ag 0.000 0.000 0.500
I1 I 0.000 0.000 0.247
```

ΔE_f (raw): -1.091 eV/atom
crystal system: cubic

---

Entry 4:
Entry from Alexandria: crystalline Cr3CdIr at its relaxed geometry (GGA-PBEsol).

```
data_Cr3CdIr
_space_group_name_H-M_alt 'P m -3 m'
_space_group_IT_number 221
_space_group_name_Hall '-P 4 2 3'
_cell_length_a 4.677
_cell_length_b 4.677
_cell_length_c 4.677
_cell_angle_alpha 90.00
_cell_angle_beta 90.00
_cell_angle_gamma 90.00
loop_
_atom_site_label
_atom_site_type_symbol
_atom_site_fract_x
_atom_site_fract_y
_atom_site_fract_z
Cr1 Cr 0.000 0.000 0.500
Cd1 Cd 0.500 0.500 0.500
Ir1 Ir 0.000 0.000 0.000
```

crystal system: cubic
formation energy: 1.28 eV/atom

---

Number 1: total DFT energy (no corrections) -6.302 eV per atom, magnetic moment 0.00 μB/f.u.. Number 2: total DFT energy (no corrections) -4.041 eV per atom, magnetic moment 0.00 μB/f.u.. Number 3: total DFT energy (no corrections) -3.348 eV per atom, magnetic moment 0.00 μB/f.u.. Number 4: total DFT energy (no corrections) -7.065 eV per atom, magnetic moment 9.83 μB/f.u..